Entry from Alexandria: Cd4Ni at its PBEsol-relaxed geometry (SCAN).

Summary:
crystal system	tetragonal
total DFT energy (no corrections)	-27.522	eV/atom
space group	I4/m
DOS(E_F)	0.31	states/eV per atom

abc: 3.116 5.602 5.602
angles: 85.56 73.85 73.85
Fractional coordinates of all 5 atoms:
Ni  0.000  0.000  0.000
Cd  0.424  0.350  0.802
Cd  0.576  0.650  0.198
Cd  0.226  0.198  0.350
Cd  0.774  0.802  0.650